1.
# PBE-GGA Y2MnIn, relaxed
data_Y2MnIn
_symmetry_space_group_name_H-M 'R -3 m'
_symmetry_Int_Tables_number 166
_symmetry_space_group_name_Hall '-R 3 2"'
_cell_length_a 3.5115
_cell_length_b 3.5115
_cell_length_c 29.1420
_cell_angle_alpha 90.00
_cell_angle_beta 90.00
_cell_angle_gamma 120.00
loop_
_atom_site_label
_atom_site_fract_x
_atom_site_fract_y
_atom_site_fract_z
_atom_site_occupancy
Y1 0.0000 0.0000 0.2427 1
Mn1 0.0000 0.0000 0.5000 1
In1 0.0000 0.0000 0.0000 1
# - Total DFT energy (no corrections): -24.6 eV per formula unit
# - DOS(E_F): 1.011 states/eV/atom
# - Total magnetization: 2.8 μB/f.u.

***

2.
# PBE-GGA SiRu, relaxed
data_SiRu
_symmetry_space_group_name_H-M 'R -3 m'
_symmetry_Int_Tables_number 166
_symmetry_space_group_name_Hall '-R 3 2"'
_cell_length_a 2.8263
_cell_length_b 2.8263
_cell_length_c 11.4994
_cell_angle_alpha 90.00
_cell_angle_beta 90.00
_cell_angle_gamma 120.00
loop_
_atom_site_label
_atom_site_fract_x
_atom_site_fract_y
_atom_site_fract_z
_atom_site_occupancy
Si1 0.0000 0.0000 0.0000 1
Ru1 0.0000 0.0000 0.5000 1
# - Total DFT energy (no corrections): -15.5 eV per formula unit
# - DOS(E_F): 0.479 states/eV/atom
# - Total magnetization: 0.0 μB/f.u.

***

3.
# PBE-GGA DyTm2Pu3Se6, relaxed
data_DyTm2Pu3Se6
_symmetry_space_group_name_H-M 'C 1 2/m 1'
_symmetry_Int_Tables_number 12
_symmetry_space_group_name_Hall '-C 2y'
_cell_length_a 17.8383
_cell_length_b 4.0761
_cell_length_c 8.1893
_cell_angle_alpha 90.00
_cell_angle_beta 103.15
_cell_angle_gamma 90.00
loop_
_atom_site_label
_atom_site_fract_x
_atom_site_fract_y
_atom_site_fract_z
_atom_site_occupancy
Dy1 0.0000 0.0000 0.0000 1
Tm1 0.1663 0.5000 0.3358 1
Pu1 0.0000 0.0000 0.5000 1
Pu2 0.1658 0.5000 0.8351 1
Se1 0.0030 0.5000 0.2483 1
Se2 0.1663 0.0000 0.0911 1
Se3 0.1695 0.0000 0.5792 1
# - Total DFT energy (no corrections): -97.1 eV per formula unit
# - DOS(E_F): 2.265 states/eV/atom
# - Total magnetization: 5.8 μB/f.u.

***

4.
# PBE-GGA KTl2Zn2F7, relaxed
data_KTl2Zn2F7
_symmetry_space_group_name_H-M 'C 1 2/m 1'
_symmetry_Int_Tables_number 12
_symmetry_space_group_name_Hall '-C 2y'
_cell_length_a 5.8914
_cell_length_b 5.8911
_cell_length_c 11.5719
_cell_angle_alpha 90.00
_cell_angle_beta 104.60
_cell_angle_gamma 90.00
loop_
_atom_site_label
_atom_site_fract_x
_atom_site_fract_y
_atom_site_fract_z
_atom_site_occupancy
K1 0.0000 0.0000 0.0000 1
Tl1 0.1835 0.0000 0.3685 1
Zn1 0.0911 0.5000 0.1844 1
F1 0.0000 0.5000 0.0000 1
F2 0.1609 0.2502 0.8190 1
F3 0.1809 0.5000 0.3661 1
# - Total DFT energy (no corrections): -48.5 eV per formula unit
# - DOS(E_F): 0.000 states/eV/atom
# - Total magnetization: 0.0 μB/f.u.